A relaxed structure of K2LaNi, computed with PBE.

Computed properties:
Energy of formation from the pure elements (eV per formula unit): 2.10
N(E_F) (states/eV per cell): 5.961
Relative energy among the computed polymorphs (meV/atom): 432

Lattice parameters (Å, degrees): 4.4428 4.4428 13.3638 90.00 90.00 90.00
Closest atoms and distances in Å follow each position.
Space group I4/mmm (No. 139)
Inequivalent atoms, fractional coordinates:
1 K 0.0000 0.5000 0.2500 [4 per cell]  4 K 3.14
2 La 0.0000 0.0000 0.0000 [2 per cell]  4 Ni 3.14
3 Ni 0.0000 0.0000 0.5000 [2 per cell]  4 La 3.14